Record 1
CdPbSO (PBE, relaxed); offset from the most stable computed form = 68 meV/atom; SG = Pbam
1.0
10.0103 0.0000 0.0000
0.0000 18.5045 0.0000
0.0000 0.0000 4.1958
Cd Pb O S
8 8 8 8
Direct
0.0286 0.1091 0.0000
0.5286 0.3909 0.0000
0.3509 0.1245 0.0000
0.4714 0.6091 0.0000
0.9714 0.8909 0.0000
0.6491 0.8755 0.0000
0.1491 0.6245 0.0000
0.8509 0.3755 0.0000
0.3367 0.7599 0.5000
0.8367 0.7401 0.5000
0.1633 0.2599 0.5000
0.7666 0.5205 0.5000
0.6633 0.2401 0.5000
0.2666 0.9795 0.5000
0.2334 0.4795 0.5000
0.7334 0.0205 0.5000
0.3067 0.5292 0.0000
0.8067 0.9708 0.0000
0.1853 0.2015 0.0000
0.6933 0.4708 0.0000
0.6853 0.2985 0.0000
0.1933 0.0292 0.0000
0.8147 0.7985 0.0000
0.3147 0.7015 0.0000
0.0152 0.6127 0.5000
0.5152 0.8873 0.5000
0.4040 0.3556 0.5000
0.9040 0.1444 0.5000
0.9848 0.3873 0.5000
0.0960 0.8556 0.5000
0.4848 0.1127 0.5000
0.5960 0.6444 0.5000

Record 2
CdPb2SO6 (PBE, relaxed); raw total energy = -5.463 eV per atom; SG = P-1
1.0
-1.6056 -5.4457 3.6880
6.2021 0.0694 3.8251
-2.1186 1.2804 6.9389
S O Cd Pb
2 12 2 4
Direct
0.2023 0.7390 0.9988
0.7977 0.2610 0.0012
0.2950 0.8510 0.0916
0.5234 0.7476 0.3868
0.0031 0.6246 0.1652
0.6289 0.3921 0.1016
0.1398 0.8745 0.8466
0.8488 0.8304 0.6242
0.3711 0.6079 0.8984
0.4766 0.2524 0.6132
0.8602 0.1255 0.1534
0.7050 0.1490 0.9084
0.1512 0.1696 0.3758
0.9969 0.3754 0.8348
0.2125 0.8739 0.4949
0.7875 0.1261 0.5051
0.7164 0.5990 0.5507
0.7087 0.7759 0.0161
0.2836 0.4010 0.4493
0.2913 0.2241 0.9839

Record 3
CdPbSO (PBE, relaxed); offset from the most stable computed form = 54 meV/atom; SG = P2_12_12_1
1.0
-3.6970 -3.6541 3.6860
-2.1421 -3.6755 -5.7921
5.9630 -5.0349 0.9896
O Cd S Pb
4 4 4 4
Direct
0.3818 0.7564 0.3769
0.6182 0.2564 0.1231
0.8818 0.7436 0.6231
0.1182 0.2436 0.8769
0.9541 0.1668 0.1127
0.4541 0.3332 0.8873
0.5459 0.8332 0.6127
0.0459 0.6668 0.3873
0.3594 0.6770 0.8619
0.6406 0.1770 0.6381
0.8594 0.8230 0.1381
0.1406 0.3230 0.3619
0.0600 0.0660 0.6434
0.4400 0.9340 0.1434
0.5600 0.4340 0.3566
0.9400 0.5660 0.8566